(1)
Here is Np2CoTc after structural relaxation from Alexandria. Energies are from GGA-PBE.

a = 3.276 Å, b = 4.731 Å, c = 4.731 Å
α = 90.00°, β = 90.00°, γ = 90.00°
Site moments in Bohr magnetons follow the coordinates.
Fractional coordinates of all 4 atoms:
Tc 0.500 0.500 0.500  -0.67
Np 0.000 0.500 0.000  3.45
Np 0.000 0.000 0.500  3.45
Co 0.500 0.000 0.000  -1.03

Output
DFT formation energy, eV/atom: 0.2178
Total energy, eV per atom: -10.621
Spin magnetization, μB/f.u.: 5.65
SG: P4/mmm

(2)
Here is NpCo4Tc after structural relaxation from Alexandria. Energies are from GGA-PBE.

a = 4.848 Å, b = 4.848 Å, c = 4.848 Å
α = 60.00°, β = 60.00°, γ = 60.00°
Site moments in Bohr magnetons follow the coordinates.
Fractional coordinates of all 6 atoms:
Tc 0.000 0.000 0.000  1.22
Co 0.123 0.626 0.626  1.41
Co 0.626 0.123 0.626  1.41
Np 0.250 0.250 0.250  -3.08
Co 0.626 0.626 0.626  1.41
Co 0.626 0.626 0.123  1.41

Output
DFT formation energy, eV/atom: 0.0597
Total energy, eV per atom: -8.562
Spin magnetization, μB/f.u.: 3.63
SG: F-43m

(3)
Here is NpTiCoTc after structural relaxation from Alexandria. Energies are from GGA-PBE.

a = 4.507 Å, b = 4.507 Å, c = 4.507 Å
α = 60.00°, β = 60.00°, γ = 60.00°
Site moments in Bohr magnetons follow the coordinates.
Fractional coordinates of all 4 atoms:
Np 0.750 0.750 0.750  3.30
Tc 0.000 0.000 0.000  -0.30
Co 0.500 0.500 0.500  -0.89
Ti 0.250 0.250 0.250  0.28

Output
DFT formation energy, eV/atom: -0.0735
Total energy, eV per atom: -9.650
Spin magnetization, μB/f.u.: 2.64
SG: F-43m

(4)
Here is NpVCoTc after structural relaxation from Alexandria. Energies are from GGA-PBE.

a = 4.433 Å, b = 4.433 Å, c = 4.433 Å
α = 60.00°, β = 60.00°, γ = 60.00°
Site moments in Bohr magnetons follow the coordinates.
Fractional coordinates of all 4 atoms:
Tc 0.750 0.750 0.750  0.04
Co 0.250 0.250 0.250  0.87
Np 0.000 0.000 0.000  -2.98
V 0.500 0.500 0.500  0.66

Output
DFT formation energy, eV/atom: 0.1262
Total energy, eV per atom: -9.757
Spin magnetization, μB/f.u.: 1.47
SG: F-43m

(5)
Here is NpZnCoTc after structural relaxation from Alexandria. Energies are from GGA-PBE.

a = 4.452 Å, b = 4.452 Å, c = 4.452 Å
α = 60.00°, β = 60.00°, γ = 60.00°
Site moments in Bohr magnetons follow the coordinates.
Fractional coordinates of all 4 atoms:
Zn 0.250 0.250 0.250  0.01
Np 0.750 0.750 0.750  3.09
Tc 0.500 0.500 0.500  -0.45
Co 0.000 0.000 0.000  -0.73

Output
DFT formation energy, eV/atom: 0.0772
Total energy, eV per atom: -7.844
Spin magnetization, μB/f.u.: 2.05
SG: F-43m

(6)
Here is Np3Co5Te12 after structural relaxation from Alexandria. Energies are from GGA-PBE.

a = 14.056 Å, b = 14.056 Å, c = 14.056 Å
α = 109.47°, β = 109.47°, γ = 109.47°
Site moments in Bohr magnetons follow the coordinates.
Fractional coordinates of all 80 atoms:
Np 0.125 0.875 0.750  3.85
Te 0.887 0.590 0.913  -0.03
Te 0.177 0.090 0.703  -0.03
Te 0.797 0.323 0.910  -0.03
Te 0.797 0.474 0.387  -0.03
Te 0.323 0.526 0.413  -0.03
Co 0.125 0.750 0.375  1.15
Te 0.026 0.413 0.823  -0.03
Te 0.090 0.177 0.203  -0.03
Co 0.500 0.000 0.000  0.06
Np 0.750 0.375 0.125  3.85
Te 0.087 0.910 0.113  -0.03
Co 0.000 0.000 0.500  0.06
Te 0.410 0.297 0.323  -0.03
Np 0.625 0.250 0.375  3.85
Te 0.587 0.613 0.410  -0.03
Np 0.625 0.375 0.750  3.85
Te 0.887 0.297 0.474  -0.03
Co 0.875 0.625 0.750  1.15
Te 0.474 0.797 0.887  -0.03
Te 0.410 0.113 0.587  -0.03
Np 0.375 0.625 0.250  3.85
Np 0.875 0.125 0.250  3.85
Te 0.026 0.613 0.703  -0.03
Te 0.177 0.087 0.974  -0.03
Te 0.203 0.677 0.090  -0.03
Te 0.974 0.387 0.297  -0.03
Te 0.823 0.913 0.026  -0.03
Te 0.474 0.677 0.087  -0.03
Te 0.910 0.823 0.797  -0.03
Np 0.250 0.625 0.875  3.85
Co 0.750 0.625 0.375  1.15
Te 0.323 0.797 0.410  -0.03
Te 0.587 0.974 0.677  -0.03
Co 0.625 0.875 0.250  1.15
Np 0.750 0.875 0.625  3.85
Te 0.910 0.087 0.613  -0.03
Te 0.613 0.587 0.910  -0.03
Te 0.090 0.913 0.387  -0.03
Te 0.677 0.203 0.590  -0.03
Co 0.000 0.000 0.000  0.06
Co 0.375 0.250 0.125  1.15
Co 0.250 0.375 0.625  1.15
Te 0.703 0.113 0.026  -0.03
Co 0.500 0.500 0.500  0.06
Co 0.125 0.375 0.250  1.15
Te 0.113 0.410 0.087  -0.03
Te 0.526 0.323 0.913  -0.03
Te 0.703 0.590 0.177  -0.03
Te 0.387 0.974 0.797  -0.03
Te 0.823 0.910 0.297  -0.03
Co 0.750 0.125 0.875  1.15
Te 0.974 0.587 0.177  -0.03
Te 0.913 0.823 0.526  -0.03
Te 0.087 0.177 0.474  -0.03
Co 0.875 0.250 0.625  1.15
Co 0.375 0.125 0.750  1.15
Te 0.297 0.410 0.823  -0.03
Te 0.526 0.203 0.113  -0.03
Te 0.387 0.413 0.090  -0.03
Co 0.500 0.000 0.500  0.06
Co 0.000 0.500 0.500  0.06
Te 0.113 0.703 0.526  -0.03
Np 0.375 0.750 0.625  3.85
Te 0.413 0.026 0.323  -0.03
Np 0.875 0.750 0.125  3.85
Co 0.625 0.750 0.875  1.15
Te 0.677 0.474 0.587  -0.03
Co 0.500 0.500 0.000  0.06
Te 0.413 0.387 0.590  -0.03
Te 0.590 0.887 0.413  -0.03
Te 0.613 0.026 0.203  -0.03
Co 0.000 0.500 0.000  0.06
Te 0.590 0.703 0.677  -0.03
Np 0.250 0.125 0.375  3.85
Co 0.250 0.875 0.125  1.15
Te 0.913 0.090 0.887  -0.03
Np 0.125 0.250 0.875  3.85
Te 0.203 0.526 0.613  -0.03
Te 0.297 0.887 0.974  -0.03

Output
Total energy, eV per atom: -5.799
Spin magnetization, μB/f.u.: 15.51
SG: Ia-3d
E_form (uncorrected), eV/atom: -0.196